Here is a geometry-optimized AcPmTlSn structure from Alexandria. Energies are from PBE-GGA.

Cell: 5.0085 4.4188 6.7149 Å, 109.21 111.90 90.00°
Sites, in units of the cell vectors:
Sn1 0.6361 0.6361 0.2722
Tl1 0.8341 0.3341 0.6683
Ac1 0.3846 0.8846 0.7692
Pm1 0.1243 0.1243 0.2486

Properties
Energy of formation (meV per atom): -474
Relative energy among the computed polymorphs (meV per atom): 0
Calculated total energy (eV/atom): -4.282
Space-group type: Imm2
DOS at the Fermi energy (states/eV per cell): 2.502